[1]
Crystalline BaCd5 at its relaxed geometry. Source: the Alexandria database, functional GGA-PBE.

Calculated values
DFT formation energy: -0.12 eV per atom
space group: P4/mmm, No. 123
calculated volume: 166 Å³/cell

a b c (Å): 3.884 3.884 11.005
angles (deg): 90.00 90.00 90.00
Positions (direct):
Ba1 0.000 0.000 0.000
Cd1 0.000 0.000 0.355
Cd2 0.000 0.000 0.645
Cd3 0.500 0.500 0.217
Cd4 0.500 0.500 0.500
Cd5 0.500 0.500 0.783



[2]
Crystalline Ba3Cd5 at its relaxed geometry. Source: the Alexandria database, functional GGA-PBE.

Calculated values
DFT formation energy: -0.18 eV per atom
space group: P6_3/mcm, No. 193
calculated volume: 598 Å³/cell
relative energy among the computed polymorphs: 0.036 eV per atom

a b c (Å): 11.055 11.055 5.651
angles (deg): 90.00 90.00 120.00
Positions (direct):
Ba1 0.000 0.367 0.250
Ba2 0.000 0.633 0.750
Ba3 0.367 0.000 0.250
Ba4 0.367 0.367 0.750
Ba5 0.633 0.000 0.750
Ba6 0.633 0.633 0.250
Cd1 0.000 0.164 0.750
Cd2 0.000 0.836 0.250
Cd3 0.164 0.000 0.750
Cd4 0.164 0.164 0.250
Cd5 0.333 0.667 0.000
Cd6 0.333 0.667 0.500
Cd7 0.667 0.333 0.000
Cd8 0.667 0.333 0.500
Cd9 0.836 0.000 0.250
Cd10 0.836 0.836 0.750



[3]
Crystalline Ba3Cd at its relaxed geometry. Source: the Alexandria database, functional GGA-PBE.

Calculated values
DFT formation energy: 0.02 eV per atom
space group: R-3m, No. 166
calculated volume: 197 Å³/cell
relative energy among the computed polymorphs: 0.173 eV per atom

a b c (Å): 7.379 7.379 7.379
angles (deg): 116.26 116.26 116.26
Positions (direct):
Ba1 0.000 0.500 0.500
Ba2 0.500 0.000 0.500
Ba3 0.500 0.500 0.000
Cd1 0.000 0.000 0.000



[4]
Crystalline Ba3Cd2 at its relaxed geometry. Source: the Alexandria database, functional GGA-PBE.

Calculated values
DFT formation energy: -0.21 eV per atom
space group: P-3m1, No. 164
calculated volume: 229 Å³/cell
relative energy among the computed polymorphs: 0.052 eV per atom

a b c (Å): 6.017 6.017 7.312
angles (deg): 90.00 90.00 120.00
Positions (direct):
Ba1 0.000 0.000 0.000
Ba2 0.333 0.667 0.331
Ba3 0.667 0.333 0.669
Cd1 0.333 0.667 0.842
Cd2 0.667 0.333 0.158



[5]
Crystalline Ba3Cd at its relaxed geometry. Source: the Alexandria database, functional GGA-PBE.

Calculated values
DFT formation energy: -0.08 eV per atom
space group: P-6m2, No. 187
calculated volume: 220 Å³/cell
relative energy among the computed polymorphs: 0.081 eV per atom

a b c (Å): 4.538 4.538 12.336
angles (deg): 90.00 90.00 120.00
Positions (direct):
Ba1 0.000 0.000 0.000
Ba2 0.333 0.667 0.303
Ba3 0.333 0.667 0.697
Cd1 0.000 0.000 0.500



[6]
Crystalline Ba4Cd at its relaxed geometry. Source: the Alexandria database, functional GGA-PBE.

Calculated values
DFT formation energy: -0.12 eV per atom
space group: I4/mmm, No. 139
calculated volume: 270 Å³/cell
relative energy among the computed polymorphs: 0.000 eV per atom

a b c (Å): 14.603 14.603 14.603
angles (deg): 162.88 162.88 24.30
Positions (direct):
Ba1 0.071 0.071 0.000
Ba2 0.309 0.309 0.000
Ba3 0.691 0.691 0.000
Ba4 0.929 0.929 0.000
Cd1 0.500 0.500 0.000



no.,raw total energy (eV/atom),Fermi-level density of states (states/eV/cell)
1,-1.1992,3.94
2,-1.4733,15.53
3,-1.6540,4.39
4,-1.7265,6.13
5,-1.7464,4.63
6,-1.8397,7.69